# TlZn2P, optimized geometry, DFT PBE
data_TlZn2P
_cell_length_a 4.8302
_cell_length_b 4.8302
_cell_length_c 4.8302
_cell_angle_alpha 60.00
_cell_angle_beta 60.00
_cell_angle_gamma 60.00
_space_group_name_H-M_alt 'P 1'
_space_group_IT_number 1
_space_group_name_Hall 'P 1'
loop_
_atom_site_label
_atom_site_fract_x
_atom_site_fract_y
_atom_site_fract_z
Zn1 0.7500 0.7500 0.7500
Zn2 0.2500 0.2500 0.2500
Tl1 0.5000 0.5000 0.5000
P1 0.0000 0.0000 0.0000
# Formation energy from the elements   8.181 kcal/mol of atoms
# M_tot   0.00 μB per cell
# Energy   -2.226 eV per atom
# Symmetry   Fm-3m, No. 225